# 1
# WBrCl4

WBrCl4 after structural relaxation (PBE-GGA, Alexandria via LeMat-Bulk).

```
WBrCl4
1.0
0.000 4.028 4.028
4.028 0.000 4.028
4.028 4.028 0.000
W Br Cl
1 1 4
Direct
0.000 0.000 0.000
0.750 0.750 0.750
0.374 0.374 0.374
0.374 0.374 0.878
0.374 0.878 0.374
0.878 0.374 0.374
```

Properties
Energy relative to the elements, uncorrected = 1.288 eV/atom
Energy above the lowest structure with this stoichiometry = 2.0152 eV per atom
Uncorrected energy = -2.38 eV per atom
Space-group type = F-43m
Total moment = 3.37 μB per cell

# 2
# Cs2UIBr5

Cs2UIBr5 after structural relaxation (PBE-GGA, Alexandria via LeMat-Bulk).

```
Cs2UIBr5
1.0
-4.086 4.086 5.839
4.086 -4.086 5.839
4.086 4.086 -5.839
Cs U I Br
2 1 1 5
Direct
0.000 0.500 0.500
0.500 0.000 0.500
0.252 0.252 0.000
0.991 0.991 0.000
0.008 0.008 0.519
0.008 0.488 0.000
0.488 0.008 0.000
0.488 0.488 0.481
0.491 0.491 0.000
```

Properties
Energy relative to the elements, uncorrected = -1.537 eV/atom
Uncorrected energy = -4.08 eV per atom
Space-group type = I4mm
Total moment = 2.00 μB per cell

# 3
# LaErIr2

LaErIr2 after structural relaxation (PBE-GGA, Alexandria via LeMat-Bulk).

```
LaErIr2
1.0
3.413 0.000 0.000
0.000 3.413 0.000
0.000 0.000 7.308
La Er Ir
1 1 2
Direct
0.000 0.000 0.000
0.000 0.000 0.500
0.500 0.500 0.271
0.500 0.500 0.729
```

Properties
Energy above the lowest structure with this stoichiometry = 0.0000 eV per atom
Uncorrected energy = -7.50 eV per atom
Space-group type = P4/mmm
Energy of formation = -0.69 eV per atom
Total moment = 0.00 μB per cell

# 4
# BaSrCu2F8

BaSrCu2F8 after structural relaxation (PBE-GGA, Alexandria via LeMat-Bulk).

```
BaSrCu2F8
1.0
5.774 0.000 0.000
-2.887 5.000 0.000
0.000 0.000 8.012
Ba Sr Cu F
1 1 2 8
Direct
0.000 0.000 0.000
0.000 0.000 0.500
0.333 0.667 0.777
0.667 0.333 0.223
0.055 0.310 0.719
0.255 0.945 0.719
0.310 0.255 0.281
0.333 0.667 0.009
0.667 0.333 0.991
0.690 0.745 0.719
0.745 0.055 0.281
0.945 0.690 0.281
```

Properties
Energy relative to the elements, uncorrected = -2.517 eV/atom
Uncorrected energy = -4.75 eV per atom
Space-group type = P-3
Total moment = 2.00 μB per cell